[1]
VASP calculation (PBE) on a relaxed structure of WSeBr2.

The structure belongs to space group R3m (No. 160, hexagonal axes); the cell edges are 3.2648, 3.2648 and 31.0880 Å and the angles 90.00°, 90.00° and 120.00°. Symmetry generates all atoms from W at (0.0000, 0.0000, 0.0000), Se at (0.0000, 0.0000, 0.7217), Br at (0.0000, 0.0000, 0.2721) and Br at (0.0000, 0.0000, 0.4982).

As for the density of states at the Fermi level: 8.03 states/eV/cell. As for the energy: -4.94 eV/atom. For the uncorrected formation energy, the calculation gives 0.007 eV/atom.

[2]
VASP calculation (PBE) on a relaxed structure of WSeBr2.

The structure belongs to space group R-3m (No. 166, hexagonal axes); the cell edges are 3.1775, 3.1775 and 32.7877 Å and the angles 90.00°, 90.00° and 120.00°. Symmetry generates all atoms from W at (0.0000, 0.0000, 0.0000), Se at (0.0000, 0.0000, 0.5000) and Br at (0.0000, 0.0000, 0.3909).

As for the density of states at the Fermi level: 5.92 states/eV/cell. As for the energy: -4.55 eV/atom. For the uncorrected formation energy, the calculation gives 0.398 eV/atom.

[3]
VASP calculation (PBE) on a relaxed structure of WSe2Br.

The structure belongs to space group Pmmm (No. 47); the cell edges are 3.2082, 4.5716 and 5.1455 Å and the angles 90.00°, 90.00° and 90.00°. Symmetry generates all atoms from W at (0.0000, 0.0000, 0.0000), Se at (0.0000, 0.5000, 0.5000), Se at (0.5000, 0.0000, 0.5000) and Br at (0.5000, 0.5000, 0.0000).

As for the density of states at the Fermi level: 3.82 states/eV/cell. As for the energy: -4.32 eV/atom. For the uncorrected formation energy, the calculation gives 1.079 eV/atom.

[4]
VASP calculation (PBE) on a relaxed structure of WSe2Br.

The structure belongs to space group R3m (No. 160, hexagonal axes); the cell edges are 3.1801, 3.1801 and 30.8825 Å and the angles 90.00°, 90.00° and 120.00°. Symmetry generates all atoms from W at (0.0000, 0.0000, 0.0000), Se at (0.0000, 0.0000, 0.5005), Se at (0.0000, 0.0000, 0.7233) and Br at (0.0000, 0.0000, 0.2706).

As for the density of states at the Fermi level: 8.82 states/eV/cell. As for the energy: -5.24 eV/atom. For the uncorrected formation energy, the calculation gives 0.160 eV/atom.

[5]
VASP calculation (PBE) on a relaxed structure of W3SeBr.

The structure belongs to space group Pm-3m (No. 221); the cell edges are 4.6839, 4.6839 and 4.6839 Å and the angles 90.00°, 90.00° and 90.00°. Symmetry generates all atoms from W at (0.0000, 0.0000, 0.5000), Se at (0.0000, 0.0000, 0.0000) and Br at (0.5000, 0.5000, 0.5000).

As for the density of states at the Fermi level: 6.29 states/eV/cell. As for the energy: -6.71 eV/atom. For the uncorrected formation energy, the calculation gives 2.096 eV/atom.

[6]
VASP calculation (PBE) on a relaxed structure of WSeBr.

The structure belongs to space group F-43m (No. 216); the cell edges are 6.2813, 6.2813 and 6.2813 Å and the angles 90.00°, 90.00° and 90.00°. Symmetry generates all atoms from W at (0.0000, 0.0000, 0.0000), Se at (0.2500, 0.2500, 0.7500) and Br at (0.2500, 0.2500, 0.2500).

As for the density of states at the Fermi level: 11.06 states/eV/cell. As for the energy: -5.59 eV/atom. For the uncorrected formation energy, the calculation gives 0.451 eV/atom.

no.,distance to the lowest polymorph of the same formula (meV/atom)
1,207
2,598
3,1417
4,499
5,0
6,835